Record 1
Tl2HgBr: relaxed, PBEsol.

Structure (POSCAR):
```
Tl2HgBr
1.0
1.9185 1.1076 9.1897
-1.9185 1.1076 9.1897
0.0000 -2.2153 9.1897
Tl Hg Br
2 1 1
Cartesian
0.0000 0.0000 6.8689
0.0000 0.0000 20.7002
0.0000 0.0000 0.0000
0.0000 0.0000 13.7846
```

- symmetry = R-3m (166)
- magnetic moment (Bohr magnetons per cell) = 0.000
- E_form (uncorrected) (eV per atom) = -0.301

Record 2
Cs2Hg6S7: relaxed, PBEsol.

Structure (POSCAR):
```
Cs2Hg6S7
1.0
13.9360 0.0000 0.0000
0.0000 13.9360 0.0000
0.0000 0.0000 4.1498
Cs Hg S
4 12 14
Cartesian
2.3711 2.3711 0.0000
4.5969 9.3391 2.0749
9.3391 4.5969 2.0749
11.5649 11.5649 0.0000
1.0478 9.1055 0.0230
1.3847 12.5513 2.4230
2.1375 5.9202 2.0979
4.8305 12.8882 0.0230
5.5833 5.5833 0.3481
5.9202 2.1375 2.0979
8.0158 11.7985 2.0979
8.3527 8.3527 0.3481
9.1055 1.0478 0.0230
11.7985 8.0158 2.0979
12.5513 1.3847 2.4230
12.8882 4.8305 0.0230
0.0000 0.0000 1.0733
0.2963 4.2594 2.0966
2.5410 11.3950 0.0024
2.7086 7.2643 0.0217
4.2594 0.2963 2.0966
4.4270 4.4270 2.0773
6.6717 11.2274 0.0217
6.9680 6.9680 3.1482
7.2643 2.7086 0.0217
9.5090 9.5090 2.0773
9.6766 13.6397 2.0966
11.2274 6.6717 0.0217
11.3950 2.5410 0.0024
13.6397 9.6766 2.0966
```

- symmetry = P4_2nm (102)
- magnetic moment (Bohr magnetons per cell) = 0.000
- E_form (uncorrected) (eV per atom) = -0.440

Record 3
Zr2ScAu: relaxed, PBEsol.

Structure (POSCAR):
```
Zr2ScAu
1.0
4.2227 0.0000 0.0000
0.0000 4.2227 0.0000
0.0000 0.0000 4.4976
Zr Sc Au
2 1 1
Cartesian
0.0000 2.1113 0.0000
2.1113 0.0000 0.0000
0.0000 0.0000 2.2488
2.1113 2.1113 2.2488
```

- symmetry = P4/mmm (123)
- magnetic moment (Bohr magnetons per cell) = 0.001
- formation energy (eV/atom) = -0.2999